10
Lattice="5.2728 0.0000 0.0000 -2.6323 4.5989 0.0000 -0.0256 -3.0411 4.6507" Properties=species:S:1:pos:R:3 comment="InFe2AsO6, relaxed, DFT PBE+U" spacegroup="P1, No. 1" dft_energy_ev_per_atom=-6.20 total_magnetization_mub_per_cell=8.0 vol_a3_per_atom=11.28 pbc="T T T"
In 0.0000 0.0000 0.0000
Fe -0.0141 0.0371 2.9307
Fe 2.6526 1.5620 0.7487
As 2.6195 -1.5058 2.4752
O -0.7106 1.6337 1.5484
O 1.1630 -1.5089 3.7501
O 1.6641 -0.1881 1.5641
O 0.7296 1.8142 3.7059
O 1.5770 3.2284 1.5349
O 3.3501 -0.2018 3.6889